No. 1
## GaTe2RhSe (PBE-GGA)

Data for crystalline GaTe2RhSe at its relaxed geometry.

Computed properties:
The mass density is 5.7 g/cm3. For the calculated total energy, the calculation gives -3.1721 eV/atom. As for the uncorrected formation energy: 857 meV per atom. The total magnetization is 1.37 μB/cell.

a b c (Å): 5.4131 5.4131 5.0042
angles (deg): 90.00 90.00 90.00
Space group P4/mmm (No. 123)
Unique sites:
Ga (0.0000, 0.0000, 0.0000) x1
Te (0.0000, 0.5000, 0.5000) x2
Rh (0.5000, 0.5000, 0.0000) x1
Se (0.0000, 0.0000, 0.5000) x1


No. 2
## Th4GaRhSe2 (PBE-GGA)

Data for crystalline Th4GaRhSe2 at its relaxed geometry.

Computed properties:
The mass density is 9.6 g/cm3. For the calculated total energy, the calculation gives -6.9396 eV/atom. As for the uncorrected formation energy: -1061 meV per atom. The total magnetization is 0.00 μB/cell.

a b c (Å): 7.4094 4.1797 7.4373
angles (deg): 90.00 108.89 90.00
Space group P2/m (No. 10)
Unique sites:
Th (0.2265, 0.0000, 0.2330) x2
Th (0.2399, 0.5000, 0.7537) x2
Ga (0.0000, 0.0000, 0.5000) x1
Rh (0.0000, 0.5000, 0.0000) x1
Se (0.5000, 0.0000, 0.0000) x1
Se (0.5000, 0.5000, 0.5000) x1